# 1
The following is a PBE-GGA calculation of crystalline VTc2B at its relaxed geometry, from Alexandria.

Cell: 2.954 2.954 5.564 Å, 90.00 90.00 90.00°
Fractional positions:
1 Tc 0.000 0.000 0.226
2 Tc 0.000 0.000 0.774
3 B 0.500 0.500 0.000
4 V 0.500 0.500 0.500

Output
**DOS at the Fermi energy**: 2.80 states/eV/f.u.
**Total magnetization**: 0.00 Bohr magnetons per cell
**ΔH_f (0 K)**: -60.1 meV per atom

=====

# 2
The following is a PBE-GGA calculation of crystalline VTc2B at its relaxed geometry, from Alexandria.

Cell: 4.098 4.098 4.098 Å, 60.00 60.00 60.00°
Fractional positions:
1 V 0.500 0.500 0.500
2 Tc 0.250 0.250 0.250
3 B 0.000 0.000 0.000
4 Tc 0.750 0.750 0.750

Output
**DOS at the Fermi energy**: 2.13 states/eV/f.u.
**Total magnetization**: 0.00 Bohr magnetons per cell
**ΔH_f (0 K)**: 31.3 meV per atom

=====

# 3
The following is a PBE-GGA calculation of crystalline VTc2B at its relaxed geometry, from Alexandria.

Cell: 6.975 6.975 5.390 Å, 49.68 49.68 90.00°
Fractional positions:
1 V 0.750 0.250 0.500
2 Tc 0.375 0.474 0.750
3 Tc 0.526 0.125 0.250
4 B 0.250 0.750 0.500
5 B 0.500 0.500 0.000
6 V 0.000 0.000 0.000
7 Tc 0.875 0.776 0.750
8 Tc 0.224 0.625 0.250

Output
**DOS at the Fermi energy**: 3.44 states/eV/f.u.
**Total magnetization**: 0.00 Bohr magnetons per cell
**ΔH_f (0 K)**: 48.9 meV per atom

=====

# 4
The following is a PBE-GGA calculation of crystalline VTc2B2 at its relaxed geometry, from Alexandria.

Cell: 5.944 5.944 2.980 Å, 90.00 90.00 90.00°
Fractional positions:
1 B 0.882 0.618 0.000
2 Tc 0.328 0.172 0.500
3 V 0.000 0.000 0.000
4 Tc 0.672 0.828 0.500
5 B 0.382 0.882 0.000
6 Tc 0.828 0.328 0.500
7 Tc 0.172 0.672 0.500
8 B 0.618 0.118 0.000
9 B 0.118 0.382 0.000
10 V 0.500 0.500 0.000

Output
**DOS at the Fermi energy**: 3.31 states/eV/f.u.
**Total magnetization**: 0.00 Bohr magnetons per cell
**ΔH_f (0 K)**: -436.8 meV per atom

=====

# 5
The following is a PBE-GGA calculation of crystalline V4Tc2B at its relaxed geometry, from Alexandria.

Cell: 3.969 3.969 6.810 Å, 73.06 73.06 90.00°
Fractional positions:
1 V 0.173 0.173 0.654
2 B 0.000 0.000 0.000
3 V 0.500 0.000 0.000
4 V 0.000 0.500 0.000
5 V 0.827 0.827 0.346
6 Tc 0.360 0.360 0.281
7 Tc 0.640 0.640 0.719

Output
**DOS at the Fermi energy**: 7.94 states/eV/f.u.
**Total magnetization**: 0.00 Bohr magnetons per cell
**ΔH_f (0 K)**: 336.7 meV per atom

=====

# 6
The following is a PBE-GGA calculation of crystalline VTc3B at its relaxed geometry, from Alexandria.

Cell: 4.079 4.079 4.079 Å, 90.00 90.00 90.00°
Fractional positions:
1 B 0.000 0.000 0.000
2 V 0.500 0.500 0.500
3 Tc 0.500 0.000 0.000
4 Tc 0.000 0.500 0.000
5 Tc 0.000 0.000 0.500

Output
**DOS at the Fermi energy**: 6.58 states/eV/f.u.
**Total magnetization**: 0.00 Bohr magnetons per cell
**ΔH_f (0 K)**: 84.6 meV per atom

=====

# 7
The following is a PBE-GGA calculation of crystalline V4TcB4 at its relaxed geometry, from Alexandria.

Cell: 4.351 6.639 6.639 Å, 90.00 90.00 90.00°
Fractional positions:
1 Tc 0.000 0.000 0.000
2 V 0.133 0.182 0.588
3 B 0.357 0.640 0.767
4 Tc 0.500 0.500 0.500
5 B 0.857 0.267 0.860
6 B 0.357 0.360 0.233
7 V 0.367 0.682 0.088
8 B 0.643 0.233 0.640
9 V 0.633 0.088 0.318
10 V 0.867 0.412 0.182
11 V 0.633 0.912 0.682
12 B 0.643 0.767 0.360
13 B 0.143 0.860 0.733
14 V 0.133 0.818 0.412
15 B 0.143 0.140 0.267
16 V 0.867 0.588 0.818
17 V 0.367 0.318 0.912
18 B 0.857 0.733 0.140

Output
**DOS at the Fermi energy**: 5.23 states/eV/f.u.
**Total magnetization**: 0.00 Bohr magnetons per cell
**ΔH_f (0 K)**: -283.4 meV per atom

=====

# 8
The following is a PBE-GGA calculation of crystalline V2TcB at its relaxed geometry, from Alexandria.

Cell: 2.910 2.910 6.804 Å, 77.65 77.65 60.00°
Fractional positions:
1 V 0.731 0.731 0.807
2 V 0.269 0.269 0.193
3 Tc 0.500 0.500 0.500
4 B 0.000 0.000 0.000

Output
**DOS at the Fermi energy**: 2.44 states/eV/f.u.
**Total magnetization**: 0.00 Bohr magnetons per cell
**ΔH_f (0 K)**: -183.5 meV per atom